[1]
The following is a PBE calculation of crystalline SnH10Br4O5 at its relaxed geometry, from Alexandria via LeMat-Bulk.

Summary:
The value obtained for the total energy is -4.401 eV/atom.

a b c (Å): 13.2815 10.2979 8.9364
angles (deg): 90.00 104.72 90.00
Last column: nearest neighbours and their distance in Å.
Space group C2/c (No. 15)
Unique sites:
Sn 0.0000 0.2445 0.2500  2 O 2.20
H 0.0276 0.3515 0.8385  1 O 0.98
H 0.0917 0.1813 0.7190  1 O 1.00
H 0.1045 0.0819 0.5027  1 O 1.01
H 0.1082 0.0120 0.3337  1 O 1.00
H 0.2077 0.1378 0.7380  1 O 0.98
Br 0.1120 0.4066 0.4443  1 Sn 2.59, 1 H 2.80
Br 0.1459 0.2268 0.1036  2 H 2.52-2.80, 1 Sn 2.60
O 0.0000 0.2940 0.7500  2 H 0.98
O 0.0731 0.0764 0.3878  2 H 1.00-1.01
O 0.1357 0.1061 0.7034  2 H 0.98-1.00

[2]
The following is a PBE calculation of crystalline SrSn2H10Br6O5 at its relaxed geometry, from Alexandria via LeMat-Bulk.

Summary:
The value obtained for the total energy is -4.359 eV/atom.

a b c (Å): 15.4533 12.7149 9.5046
angles (deg): 90.00 110.68 90.00
Last column: nearest neighbours and their distance in Å.
Space group C2/c (No. 15)
Unique sites:
Sr 0.0000 0.0141 0.2500  7 O 2.58-2.84
Sn 0.1263 0.3865 0.9554  3 Br 2.76-2.83
H 0.0511 0.1664 0.5416  1 O 0.99
H 0.0537 0.2641 0.2754  1 O 0.98
H 0.1374 0.0950 0.5876  1 O 0.99
H 0.1737 0.1280 0.2248  1 O 0.98
H 0.2149 0.0211 0.2939  1 O 0.98
Br 0.0587 0.3608 0.5859  1 H 2.50, 1 Sn 2.76
Br 0.1427 0.1667 0.9549  1 H 2.49
Br 0.1881 0.3801 0.2736  3 H 2.55-2.57, 1 Sn 2.83
O 0.0000 0.2170 0.2500  2 H 0.98
O 0.0694 0.0917 0.5494  2 H 0.99
O 0.1684 0.0736 0.2947  2 H 0.98

[3]
The following is a PBE calculation of crystalline SrHBrO at its relaxed geometry, from Alexandria via LeMat-Bulk.

Summary:
The value obtained for the total energy is -4.934 eV/atom.

a b c (Å): 11.2834 4.3147 7.4299
angles (deg): 90.00 107.86 90.00
Last column: nearest neighbours and their distance in Å.
Space group C2/m (No. 12)
Unique sites:
Sr 0.2040 0.0000 0.2732  3 O 2.49
H 0.0618 0.5000 0.3725  1 O 0.98
Br 0.1058 0.0000 0.8220  2 H 2.94, 3 Sr 3.19-3.27
O 0.1518 0.5000 0.3968  1 H 0.98

[4]
The following is a PBE calculation of crystalline Sr3H2Br2O4 at its relaxed geometry, from Alexandria via LeMat-Bulk.

Summary:
The value obtained for the total energy is -4.457 eV/atom.

a b c (Å): 3.7553 3.7553 27.5912
angles (deg): 90.00 90.00 90.00
Last column: nearest neighbours and their distance in Å.
Space group I4/mmm (No. 139)
Unique sites:
Sr 0.0000 0.0000 0.0000  8 O 2.59
Sr 0.0000 0.0000 0.1281  4 O 2.57
H 0.0000 0.0000 0.4347  4 O 1.88
Br 0.0000 0.0000 0.3140  4 Sr 3.10, 1 H 3.33
O 0.0000 0.5000 0.0646  2 H 1.88